Record 1
ThTcIr | GGA-PBE | relaxed

Lattice parameters (Å, degrees): 6.5040 6.5040 6.5040 90.00 90.00 90.00
Last column: nearest neighbours and their distance in Å.
Space group F-43m (No. 216)
Symmetry-distinct sites (fractional):
Th1 0.0000 0.0000 0.0000 [4 per cell]  4 Ir 2.82
Tc1 0.0000 0.0000 0.5000 [4 per cell]  4 Ir 2.82
Ir1 0.2500 0.2500 0.2500 [4 per cell]  4 Th 2.82, 4 Tc 2.82

## Properties
- ΔH_f (0 K): 0.1875 eV per atom

Record 2
Ta10Re3 | GGA-PBE | relaxed

Lattice parameters (Å, degrees): 5.3469 5.3469 28.2182 90.00 90.00 120.00
Last column: nearest neighbours and their distance in Å.
Space group R-3m (No. 166, hexagonal axes)
Symmetry-distinct sites (fractional):
Ta1 0.0000 0.0000 0.1490 [6 per cell]  4 Re 2.96-3.13, 12 Ta 3.09-3.24
Ta2 0.0000 0.0000 0.3323 [6 per cell]  9 Ta 2.93-3.09
Ta3 0.0021 0.5010 0.9107 [18 per cell]  5 Ta 2.66-2.93, 3 Re 2.68-2.96
Re1 0.0000 0.0000 0.0441 [6 per cell]  1 Re 2.49
Re2 0.0000 0.0000 0.5000 [3 per cell]  6 Ta 2.68

## Properties
- ΔH_f (0 K): 0.0319 eV per atom
- Polymorph energy (0 for the lowest one): 0.000 eV/atom

Record 3
TbHoZr | GGA-PBE | relaxed

Lattice parameters (Å, degrees): 7.3114 7.3114 7.3114 90.00 90.00 90.00
Last column: nearest neighbours and their distance in Å.
Space group F-43m (No. 216)
Symmetry-distinct sites (fractional):
Tb1 0.0000 0.0000 0.0000 [4 per cell]  4 Ho 3.17
Ho1 0.2500 0.2500 0.2500 [4 per cell]  4 Zr 3.17, 4 Tb 3.17
Zr1 0.0000 0.0000 0.5000 [4 per cell]  4 Ho 3.17

## Properties
- ΔH_f (0 K): 0.9437 eV per atom
- Polymorph energy (0 for the lowest one): 0.811 eV/atom

Record 4
ErHO2 | GGA-PBE | relaxed

Lattice parameters (Å, degrees): 5.9626 3.4515 4.7219 90.00 105.82 90.00
Last column: nearest neighbours and their distance in Å.
Space group Cm (No. 8)
Symmetry-distinct sites (fractional):
Er1 0.0000 0.0000 0.0000 [2 per cell]  6 O 2.19-2.32
H1 0.4763 0.0000 0.4757 [2 per cell]  1 O 1.03
O1 0.1227 0.5000 0.7948 [2 per cell]  1 H 1.52
O2 0.3847 0.0000 0.2572 [2 per cell]  1 H 1.03

Record 5
Cd2TcOs | GGA-PBE | relaxed

Lattice parameters (Å, degrees): 6.4591 6.4591 6.4591 90.00 90.00 90.00
Last column: nearest neighbours and their distance in Å.
Space group F-43m (No. 216)
Symmetry-distinct sites (fractional):
Cd1 0.0000 0.0000 0.0000 [4 per cell]  4 Cd 2.80, 4 Os 2.80
Cd2 0.2500 0.2500 0.2500 [4 per cell]  4 Cd 2.80, 4 Tc 2.80
Tc1 0.0000 0.0000 0.5000 [4 per cell]  4 Cd 2.80, 4 Os 2.80
Os1 0.2500 0.2500 0.7500 [4 per cell]  4 Cd 2.80, 4 Tc 2.80

## Properties
- ΔH_f (0 K): 0.5858 eV per atom

Record 6
YLuAg | GGA-PBE | relaxed

Lattice parameters (Å, degrees): 7.0025 7.0025 7.0025 90.00 90.00 90.00
Last column: nearest neighbours and their distance in Å.
Space group F-43m (No. 216)
Symmetry-distinct sites (fractional):
Y1 0.0000 0.0000 0.0000 [4 per cell]  4 Ag 3.03
Lu1 0.0000 0.0000 0.5000 [4 per cell]  4 Ag 3.03
Ag1 0.2500 0.2500 0.7500 [4 per cell]  4 Y 3.03, 4 Lu 3.03

## Properties
- ΔH_f (0 K): 0.0194 eV per atom
- Polymorph energy (0 for the lowest one): 0.000 eV/atom

Record 7
K2CdO2 | GGA-PBE | relaxed

Lattice parameters (Å, degrees): 9.1268 11.4097 4.0629 90.00 98.70 90.00
Last column: nearest neighbours and their distance in Å.
Space group Cm (No. 8)
Symmetry-distinct sites (fractional):
K1 0.0000 0.0000 0.0000 [2 per cell]  4 O 2.56-2.66
K2 0.0714 0.2373 0.3578 [4 per cell]  4 O 2.74-3.02
K3 0.1896 0.5000 0.6190 [2 per cell]  4 O 2.60-2.73
Cd1 0.3460 0.1271 0.8140 [4 per cell]  3 O 2.07-2.20
O1 0.0055 0.5000 0.0655 [2 per cell]  2 Cd 2.19
O2 0.1815 0.0000 0.5764 [2 per cell]  2 Cd 2.20
O3 0.3635 0.3066 0.7638 [4 per cell]  1 Cd 2.07

Record 8
Rb2AgAs3Se6 | GGA-PBE | relaxed

Lattice parameters (Å, degrees): 12.9797 7.9625 18.4921 90.00 127.45 90.00
Last column: nearest neighbours and their distance in Å.
Space group P2_1/c (No. 14)
Symmetry-distinct sites (fractional):
Rb1 0.0847 0.1032 0.2371 [4 per cell]  7 Se 3.53-3.60
Rb2 0.2822 0.6294 0.6112 [4 per cell]  8 Se 3.53-3.90, 1 As 3.75
Ag1 0.0277 0.0067 0.4271 [4 per cell]  4 Se 2.66-2.82
As1 0.2769 0.0903 0.6510 [4 per cell]  3 Se 2.41-2.47
As2 0.3346 0.5453 0.3626 [4 per cell]  3 Se 2.37-2.50
As3 0.3855 0.1698 0.5054 [4 per cell]  3 Se 2.36-2.50
Se1 0.0867 0.2384 0.0530 [4 per cell]  1 As 2.41
Se2 0.1556 0.6736 0.2277 [4 per cell]  1 As 2.37
Se3 0.2237 0.1016 0.9162 [4 per cell]  2 As 2.48-2.50
Se4 0.2516 0.5695 0.9592 [4 per cell]  1 As 2.36
Se5 0.3805 0.2056 0.8047 [4 per cell]  2 As 2.47-2.50
Se6 0.4494 0.2393 0.6579 [4 per cell]  2 As 2.47

Record 9
W4AuC3 | GGA-PBE | relaxed

Lattice parameters (Å, degrees): 3.1321 3.1321 23.5527 90.00 90.00 120.00
Last column: nearest neighbours and their distance in Å.
Space group P6_3/mmc (No. 194)
Symmetry-distinct sites (fractional):
W1 0.0000 0.0000 0.1523 [4 per cell]  3 C 2.07
W2 0.3333 0.6667 0.0571 [4 per cell]  6 C 2.19-2.25
Au1 0.3333 0.6667 0.2500 [2 per cell]  6 W 2.93, 6 Au 3.13
C1 0.0000 0.0000 0.0000 [2 per cell]  6 W 2.25
C2 0.3333 0.6667 0.6098 [4 per cell]  6 W 2.07-2.19

Record 10
NbZnPO | GGA-PBE | relaxed

Lattice parameters (Å, degrees): 3.3242 6.2019 5.7828 90.00 90.00 90.00
Last column: nearest neighbours and their distance in Å.
Space group Pmc2_1 (No. 26)
Symmetry-distinct sites (fractional):
Nb1 0.0000 0.0060 0.0000 [2 per cell]  2 O 2.11-2.18
Zn1 0.5000 0.4139 0.3598 [2 per cell]  2 O 2.04
P1 0.5000 0.2217 0.7444 [2 per cell]  2 Zn 2.36-2.52, 4 Nb 2.60
O1 0.0000 0.2549 0.2487 [2 per cell]  2 Zn 2.04, 2 Nb 2.11-2.18

Record 11
YHf31O64 | GGA-PBE | relaxed

Lattice parameters (Å, degrees): 10.2311 10.3429 10.5467 89.98 80.41 89.92
Last column: nearest neighbours and their distance in Å.
Space group P1 (No. 1)
Symmetry-distinct sites (fractional):
Y1 0.0000 0.0000 0.0000 [1 per cell]  7 O 2.17-2.34
Hf1 0.9998 0.4963 0.5013 [1 per cell]  7 O 2.04-2.23
Hf2 0.9998 0.4969 0.0004 [1 per cell]  7 O 2.05-2.23
Hf3 0.9998 0.7887 0.2517 [1 per cell]  7 O 2.01-2.23
Hf4 0.0001 0.9962 0.5014 [1 per cell]  7 O 2.05-2.21
Hf5 0.0010 0.2877 0.7509 [1 per cell]  7 O 2.05-2.23
Hf6 0.0006 0.2890 0.2513 [1 per cell]  7 O 2.04-2.25
Hf7 0.2212 0.5391 0.2086 [1 per cell]  7 O 2.04-2.23
Hf8 0.2214 0.7483 0.9595 [1 per cell]  7 O 2.05-2.25
Hf9 0.2222 0.0374 0.2094 [1 per cell]  7 O 2.05-2.24
Hf10 0.2219 0.2458 0.4591 [1 per cell]  7 O 2.04-2.23
Hf11 0.2217 0.7468 0.4594 [1 per cell]  7 O 2.04-2.24
Hf12 0.2231 0.0381 0.7090 [1 per cell]  7 O 2.05-2.23
Hf13 0.2228 0.5387 0.7094 [1 per cell]  7 O 2.03-2.24
Hf14 0.2243 0.2479 0.9588 [1 per cell]  7 O 2.04-2.23
Hf15 0.4980 0.2883 0.2511 [1 per cell]  7 O 2.04-2.24
Hf16 0.4993 0.4962 0.5006 [1 per cell]  7 O 2.04-2.24
Hf17 0.4989 0.4977 0.0012 [1 per cell]  7 O 2.04-2.25
Hf18 0.4990 0.7880 0.2512 [1 per cell]  7 O 2.03-2.23
Hf19 0.4997 0.7878 0.7514 [1 per cell]  7 O 2.04-2.24
Hf20 0.5000 0.9958 0.5014 [1 per cell]  7 O 2.04-2.23
Hf21 0.4999 0.9971 0.0016 [1 per cell]  7 O 2.04-2.24
Hf22 0.5007 0.2880 0.7503 [1 per cell]  7 O 2.03-2.23
Hf23 0.7205 0.0384 0.2101 [1 per cell]  7 O 2.03-2.23
Hf24 0.7201 0.2480 0.9596 [1 per cell]  6 O 1.99-2.22
Hf25 0.7217 0.5372 0.7081 [1 per cell]  7 O 2.02-2.24
Hf26 0.7218 0.5377 0.2091 [1 per cell]  7 O 2.04-2.24
Hf27 0.7222 0.7461 0.4591 [1 per cell]  7 O 2.04-2.23
Hf28 0.7217 0.7457 0.9581 [1 per cell]  6 O 1.99-2.22
Hf29 0.7227 0.0381 0.7097 [1 per cell]  7 O 2.04-2.23
Hf30 0.7228 0.2460 0.4587 [1 per cell]  7 O 2.04-2.23
Hf31 0.9991 0.7869 0.7515 [1 per cell]  7 O 2.05-2.25
O1 0.0821 0.6453 0.1150 [1 per cell]  4 Hf 2.14-2.25
O2 0.0841 0.1384 0.3662 [1 per cell]  4 Hf 2.13-2.24
O3 0.0847 0.1454 0.6137 [1 per cell]  4 Hf 2.14-2.22
O4 0.0847 0.6382 0.3655 [1 per cell]  4 Hf 2.13-2.23
O5 0.0850 0.6382 0.8648 [1 per cell]  4 Hf 2.13-2.23
O6 0.0848 0.6451 0.6150 [1 per cell]  4 Hf 2.14-2.24
O7 0.0920 0.1533 0.1185 [1 per cell]  3 Hf 2.09-2.21, 1 Y 2.32
O8 0.0933 0.1468 0.8576 [1 per cell]  3 Hf 2.12-2.19, 1 Y 2.24
O9 0.1364 0.8966 0.3473 [1 per cell]  4 Hf 2.14-2.21
O10 0.1375 0.3881 0.5950 [1 per cell]  4 Hf 2.13-2.24
O11 0.1371 0.3963 0.3449 [1 per cell]  4 Hf 2.14-2.23
O12 0.1372 0.8886 0.5943 [1 per cell]  4 Hf 2.12-2.25
O13 0.1377 0.3918 0.0939 [1 per cell]  4 Hf 2.15-2.25
O14 0.1380 0.3981 0.8447 [1 per cell]  4 Hf 2.12-2.23
O15 0.1436 0.8836 0.1017 [1 per cell]  3 Hf 2.11-2.20, 1 Y 2.30
O16 0.1436 0.8915 0.8388 [1 per cell]  3 Hf 2.11-2.19, 1 Y 2.34
O17 0.3264 0.0993 0.0255 [1 per cell]  3 Hf 2.04-2.15
O18 0.3258 0.1839 0.2778 [1 per cell]  3 Hf 2.05-2.13
O19 0.3260 0.6019 0.0271 [1 per cell]  3 Hf 2.05-2.13
O20 0.3258 0.6843 0.2767 [1 per cell]  3 Hf 2.04-2.14
O21 0.3274 0.1012 0.5269 [1 per cell]  3 Hf 2.04-2.14
O22 0.3268 0.6012 0.5266 [1 per cell]  3 Hf 2.04-2.14
O23 0.3283 0.6821 0.7769 [1 per cell]  3 Hf 2.03-2.16
O24 0.3319 0.1818 0.7765 [1 per cell]  3 Hf 2.03-2.16
O25 0.3940 0.4341 0.1834 [1 per cell]  3 Hf 2.04-2.14
O26 0.3944 0.8509 0.4341 [1 per cell]  3 Hf 2.04-2.15
O27 0.3945 0.3512 0.4339 [1 per cell]  3 Hf 2.04-2.14
O28 0.3955 0.4332 0.6829 [1 per cell]  3 Hf 2.04-2.14
O29 0.3962 0.8504 0.9337 [1 per cell]  3 Hf 2.05-2.13
O30 0.3965 0.9348 0.1847 [1 per cell]  3 Hf 2.03-2.14
O31 0.3966 0.3517 0.9330 [1 per cell]  3 Hf 2.04-2.14
O32 0.3968 0.9335 0.6830 [1 per cell]  3 Hf 2.04-2.13
O33 0.5766 0.1471 0.1169 [1 per cell]  4 Hf 2.10-2.28
O34 0.5841 0.6380 0.3651 [1 per cell]  4 Hf 2.13-2.24
O35 0.5836 0.6381 0.8647 [1 per cell]  4 Hf 2.13-2.24
O36 0.5835 0.6455 0.1159 [1 per cell]  4 Hf 2.13-2.25
O37 0.5848 0.1385 0.3658 [1 per cell]  4 Hf 2.14-2.24
O38 0.5853 0.1388 0.8649 [1 per cell]  4 Hf 2.14-2.23
O39 0.5845 0.6459 0.6145 [1 per cell]  4 Hf 2.14-2.23
O40 0.5858 0.1458 0.6149 [1 per cell]  4 Hf 2.13-2.23
O41 0.6351 0.8948 0.3465 [1 per cell]  4 Hf 2.15-2.22
O42 0.6359 0.3891 0.0951 [1 per cell]  4 Hf 2.12-2.24
O43 0.6372 0.3882 0.5938 [1 per cell]  4 Hf 2.13-2.23
O44 0.6368 0.3954 0.3446 [1 per cell]  4 Hf 2.13-2.24
O45 0.6369 0.3970 0.8440 [1 per cell]  4 Hf 2.12-2.25
O46 0.6367 0.8878 0.0954 [1 per cell]  4 Hf 2.14-2.23
O47 0.6372 0.8961 0.8449 [1 per cell]  4 Hf 2.13-2.24
O48 0.6382 0.8883 0.5952 [1 per cell]  4 Hf 2.13-2.24
O49 0.8134 0.1038 0.0314 [1 per cell]  2 Hf 1.99-2.08, 1 Y 2.17
O50 0.8241 0.5976 0.0257 [1 per cell]  3 Hf 2.05-2.13
O51 0.8249 0.6825 0.7729 [1 per cell]  3 Hf 2.02-2.16
O52 0.8264 0.1000 0.5266 [1 per cell]  3 Hf 2.04-2.14
O53 0.8257 0.5986 0.5248 [1 per cell]  3 Hf 2.04-2.14
O54 0.8263 0.6822 0.2769 [1 per cell]  3 Hf 2.04-2.14
O55 0.8272 0.1839 0.2771 [1 per cell]  3 Hf 2.05-2.13
O56 0.8274 0.1836 0.7769 [1 per cell]  3 Hf 2.04-2.16
O57 0.8892 0.9314 0.1946 [1 per cell]  2 Hf 2.01-2.03
O58 0.8938 0.8399 0.9307 [1 per cell]  2 Hf 1.99-2.09, 1 Y 2.17
O59 0.8948 0.4331 0.1834 [1 per cell]  3 Hf 2.04-2.15
O60 0.8953 0.4339 0.6834 [1 per cell]  3 Hf 2.05-2.14
O61 0.8956 0.3503 0.4346 [1 per cell]  3 Hf 2.04-2.14
O62 0.8960 0.3499 0.9335 [1 per cell]  3 Hf 2.05-2.14
O63 0.8961 0.8474 0.4379 [1 per cell]  3 Hf 2.05-2.16
O64 0.8963 0.9352 0.6854 [1 per cell]  3 Hf 2.05-2.15

## Properties
- Polymorph energy (0 for the lowest one): 0.000 eV/atom

Record 12
SrTmAgS3 | GGA-PBE | relaxed

Lattice parameters (Å, degrees): 7.6075 3.9935 9.5762 90.00 106.47 90.00
Last column: nearest neighbours and their distance in Å.
Space group P2_1/m (No. 11)
Symmetry-distinct sites (fractional):
Sr1 0.2437 0.2500 0.2104 [2 per cell]  7 S 3.03-3.34
Tm1 0.1917 0.7500 0.6539 [2 per cell]  6 S 2.68-2.83
Ag1 0.3969 0.2500 0.9076 [2 per cell]  3 S 2.51-2.57
S1 0.0620 0.7500 0.3625 [2 per cell]  3 Tm 2.68-2.75
S2 0.2072 0.7500 0.9527 [2 per cell]  2 Ag 2.57, 1 Tm 2.83
S3 0.4355 0.2500 0.6562 [2 per cell]  1 Ag 2.51, 2 Tm 2.72

## Properties
- Polymorph energy (0 for the lowest one): 0.018 eV/atom

Record 13
Zn2ClOF | GGA-PBE | relaxed

Lattice parameters (Å, degrees): 5.6119 11.2272 5.4081 90.00 90.00 90.00
Last column: nearest neighbours and their distance in Å.
Space group Cmme (No. 67)
Symmetry-distinct sites (fractional):
Zn1 0.0000 0.0664 0.2182 [8 per cell]  2 O 1.98, 2 F 2.20
Cl1 0.0000 0.2500 0.3694 [4 per cell]  2 Zn 2.22
O1 0.2500 0.0000 0.0000 [4 per cell]  4 Zn 1.98
F1 0.2500 0.0000 0.5000 [4 per cell]  4 Zn 2.20

Record 14
SrBeW | GGA-PBE | relaxed

Lattice parameters (Å, degrees): 6.9086 6.9086 6.9086 90.00 90.00 90.00
Last column: nearest neighbours and their distance in Å.
Space group F-43m (No. 216)
Symmetry-distinct sites (fractional):
Sr1 0.0000 0.0000 0.0000 [4 per cell]  4 Be 2.99, 4 W 2.99
Be1 0.2500 0.2500 0.7500 [4 per cell]  4 Sr 2.99
W1 0.2500 0.2500 0.2500 [4 per cell]  4 Sr 2.99

## Properties
- Polymorph energy (0 for the lowest one): 0.903 eV/atom

Record 15
Tm2Al3Pt4 | GGA-PBE | relaxed

Lattice parameters (Å, degrees): 5.5671 15.1740 7.5416 90.00 90.00 90.00
Last column: nearest neighbours and their distance in Å.
Space group Cmce (No. 64)
Symmetry-distinct sites (fractional):
Tm1 0.0000 0.1047 0.0928 [8 per cell]  8 Pt 3.01-3.37, 4 Al 3.11-3.28
Al1 0.0000 0.0000 0.5000 [4 per cell]  6 Pt 2.51-2.76
Al2 0.2500 0.2292 0.7500 [8 per cell]  5 Pt 2.56-2.62, 2 Al 2.78
Pt1 0.0000 0.1813 0.4714 [8 per cell]  5 Al 2.56-2.76
Pt2 0.2500 0.0600 0.7500 [8 per cell]  3 Al 2.51-2.57, 2 Pt 2.78

Record 16
Tc | GGA-PBE | relaxed

Lattice parameters (Å, degrees): 3.8765 3.8765 3.8765 90.00 90.00 90.00
Last column: nearest neighbours and their distance in Å.
Space group Fm-3m (No. 225)
Symmetry-distinct sites (fractional):
Tc1 0.0000 0.0000 0.0000 [4 per cell]  12 Tc 2.74

## Properties
- ΔH_f (0 K): 0.0685 eV per atom
- Polymorph energy (0 for the lowest one): 0.068 eV/atom

Record 17
Y5Tm2Ni2Te2 | GGA-PBE | relaxed

Lattice parameters (Å, degrees): 3.8663 15.6095 9.5468 90.00 90.00 90.00
Last column: nearest neighbours and their distance in Å.
Space group Imm2 (No. 44)
Symmetry-distinct sites (fractional):
Y1 0.0000 0.0000 0.0000 [2 per cell]  3 Te 3.16-3.21
Y2 0.0000 0.1316 0.4163 [4 per cell]  2 Ni 2.82, 1 Te 3.13
Y3 0.0000 0.3531 0.2677 [4 per cell]  2 Ni 2.85, 2 Te 3.16
Tm1 0.0000 0.3147 0.6177 [4 per cell]  2 Ni 2.77
Ni1 0.0000 0.2375 0.9289 [4 per cell]  2 Tm 2.77, 4 Y 2.82-2.85
Te1 0.0000 0.0000 0.6634 [2 per cell]  7 Y 3.13-3.21
Te2 0.0000 0.5000 0.7619 [2 per cell]  6 Y 3.16-3.18, 2 Tm 3.20

## Properties
- Polymorph energy (0 for the lowest one): 0.000 eV/atom

Record 18
CdGaCu2 | GGA-PBE | relaxed

Lattice parameters (Å, degrees): 6.2301 6.2301 6.2301 90.00 90.00 90.00
Last column: nearest neighbours and their distance in Å.
Space group F-43m (No. 216)
Symmetry-distinct sites (fractional):
Cd1 0.0000 0.0000 0.0000 [4 per cell]  4 Cu 2.70, 4 Ga 2.70
Ga1 0.2500 0.2500 0.2500 [4 per cell]  4 Cd 2.70, 4 Cu 2.70
Cu1 0.0000 0.0000 0.5000 [4 per cell]  4 Cu 2.70, 4 Ga 2.70
Cu2 0.2500 0.2500 0.7500 [4 per cell]  4 Cd 2.70, 4 Cu 2.70

| no. | DFT total energy (eV/atom) |
| --- | --- |
| 1 | -8.689 |
| 2 | -11.952 |
| 3 | -4.974 |
| 4 | -7.074 |
| 5 | -5.259 |
| 6 | -4.585 |
| 7 | -3.614 |
| 8 | -3.777 |
| 9 | -10.130 |
| 10 | -6.370 |
| 11 | -10.108 |
| 12 | -5.155 |
| 13 | -3.738 |
| 14 | -3.640 |
| 15 | -6.126 |
| 16 | -10.292 |
| 17 | -6.029 |
| 18 | -2.728 |